1.
DFT (PBE) results for InS2BrO after structural relaxation.

Cell: 4.9793 3.9657 4.9793 Å, 90.00 90.00 90.00°
Fractional positions:
S 0.0000 0.0000 0.5000
S 0.5000 0.0000 0.0000
O 0.0000 0.5000 0.0000
Br 0.0000 0.0000 0.0000
In 0.5000 0.5000 0.5000

Results
The calculation puts the final energy at -2.99 eV/atom. The calculation puts the energy relative to the elements, uncorrected at 0.530 eV per atom. As for the magnetization: 0.00 μB per formula unit.

---

2.
DFT (PBE) results for ScInBr2O after structural relaxation.

Cell: 4.8020 4.8157 4.8020 Å, 90.00 90.00 90.00°
Fractional positions:
Sc 0.5000 0.5000 0.5000
O 0.0000 0.0000 0.0000
Br 0.0000 0.0000 0.5000
Br 0.5000 0.0000 0.0000
In 0.0000 0.5000 0.0000

Results
The calculation puts the final energy at -3.47 eV/atom. The calculation puts the energy relative to the elements, uncorrected at 0.000 eV per atom. As for the magnetization: 0.00 μB per formula unit.

---

3.
DFT (PBE) results for InSeBr2O after structural relaxation.

Cell: 5.4139 5.4139 5.5090 Å, 90.00 90.00 90.00°
Last column: magnetic moment on the atom in μB.
Fractional positions:
O 0.5000 0.5000 0.5000  1.46
Se 0.0000 0.0000 0.5000  0.73
Br 0.0000 0.5000 0.0000  0.07
Br 0.5000 0.0000 0.0000  0.07
In 0.0000 0.0000 0.0000  -0.01

Results
The calculation puts the final energy at -2.46 eV/atom. The calculation puts the energy relative to the elements, uncorrected at 0.441 eV per atom. The energy above the lowest structure with this stoichiometry comes out at 227 meV per atom. As for the magnetization: 3.19 μB per formula unit.

---

4.
DFT (PBE) results for InSeBr2O after structural relaxation.

Cell: 5.0630 5.0630 4.4435 Å, 90.00 90.00 90.00°
Fractional positions:
O 0.0000 0.0000 0.0000
Se 0.0000 0.0000 0.5000
Br 0.0000 0.5000 0.0000
Br 0.5000 0.0000 0.0000
In 0.5000 0.5000 0.5000

Results
The calculation puts the final energy at -2.69 eV/atom. The calculation puts the energy relative to the elements, uncorrected at 0.214 eV per atom. The energy above the lowest structure with this stoichiometry comes out at 0 meV per atom. As for the magnetization: 0.01 μB per formula unit.

---

5.
DFT (PBE) results for InSeBrO4 after structural relaxation.

Cell: 5.8575 5.8575 8.1984 Å, 83.09 83.09 80.13°
Fractional positions:
In 0.2247 0.2247 0.9284
In 0.7753 0.7753 0.0716
Se 0.6234 0.6234 0.7689
Se 0.3766 0.3766 0.2311
Br 0.9834 0.9834 0.2430
Br 0.0166 0.0166 0.7570
O 0.2806 0.2806 0.4153
O 0.7194 0.7194 0.5847
O 0.1592 0.4951 0.1040
O 0.5627 0.5627 0.2398
O 0.5049 0.8408 0.8960
O 0.4951 0.1592 0.1040
O 0.4373 0.4373 0.7602
O 0.8408 0.5049 0.8960

Results
The calculation puts the final energy at -4.72 eV/atom. The calculation puts the energy relative to the elements, uncorrected at -0.756 eV per atom. As for the magnetization: 0.00 μB per formula unit.

---

6.
DFT (PBE) results for InTcBrO4 after structural relaxation.

Cell: 5.9822 5.9822 8.2876 Å, 80.85 80.85 73.89°
Fractional positions:
In 0.2064 0.2064 0.9430
In 0.7936 0.7936 0.0570
Tc 0.6101 0.6101 0.7659
Tc 0.3899 0.3899 0.2341
Br 0.9972 0.9972 0.2366
Br 0.0028 0.0028 0.7634
O 0.2944 0.2944 0.4306
O 0.7056 0.7056 0.5694
O 0.1456 0.5020 0.1100
O 0.5776 0.5776 0.2180
O 0.4980 0.8544 0.8900
O 0.5020 0.1456 0.1100
O 0.4224 0.4224 0.7820
O 0.8544 0.4980 0.8900

Results
The calculation puts the final energy at -6.13 eV/atom. The calculation puts the energy relative to the elements, uncorrected at -1.184 eV per atom. As for the magnetization: 0.00 μB per formula unit.

---

7.
DFT (PBE) results for ZrIn2BrO after structural relaxation.

Cell: 5.8921 4.0044 5.8921 Å, 90.00 90.00 90.00°
Last column: magnetic moment on the atom in μB.
Fractional positions:
O 0.0000 0.0000 0.0000  0.00
Br 0.5000 0.5000 0.5000  0.00
Zr 0.0000 0.5000 0.0000  0.22
In 0.0000 0.0000 0.5000  0.01
In 0.5000 0.0000 0.0000  0.01

Results
The calculation puts the final energy at -4.71 eV/atom. The calculation puts the energy relative to the elements, uncorrected at -0.580 eV per atom. As for the magnetization: 0.37 μB per formula unit.

---

8.
DFT (PBE) results for In2OsBr after structural relaxation.

Cell: 8.7697 8.7697 8.7697 Å, 22.65 22.65 22.65°
Fractional positions:
Os 0.2500 0.2500 0.2500
Br 0.7500 0.7500 0.7500
In 0.9901 0.9901 0.9901
In 0.5099 0.5099 0.5099

Results
The calculation puts the final energy at -4.27 eV/atom. The calculation puts the energy relative to the elements, uncorrected at 0.328 eV per atom. The energy above the lowest structure with this stoichiometry comes out at 207 meV per atom. As for the magnetization: 0.00 μB per formula unit.

---

9.
DFT (PBE) results for In2OsBr after structural relaxation.

Cell: 6.3821 6.3821 8.0483 Å, 66.64 66.64 90.00°
Fractional positions:
Os 0.0000 0.0000 0.0000
Os 0.7500 0.2500 0.5000
Br 0.5000 0.5000 0.0000
Br 0.2500 0.7500 0.5000
In 0.6912 0.1250 0.2500
In 0.0588 0.6250 0.2500
In 0.3750 0.3088 0.7500
In 0.8750 0.9412 0.7500

Results
The calculation puts the final energy at -3.91 eV/atom. The calculation puts the energy relative to the elements, uncorrected at 0.681 eV per atom. The energy above the lowest structure with this stoichiometry comes out at 561 meV per atom. As for the magnetization: 0.00 μB per formula unit.

---

10.
DFT (PBE) results for In2OsBr after structural relaxation.

Cell: 8.3957 8.3957 3.3143 Å, 89.92 89.92 22.81°
Fractional positions:
Os 0.4357 0.4357 0.5000
Br 0.1938 0.1938 0.0000
In 0.0296 0.0296 0.9991
In 0.8410 0.8410 0.0009

Results
The calculation puts the final energy at -4.47 eV/atom. The calculation puts the energy relative to the elements, uncorrected at 0.121 eV per atom. The energy above the lowest structure with this stoichiometry comes out at 0 meV per atom. As for the magnetization: 0.00 μB per formula unit.

---

11.
DFT (PBE) results for In2OsBr after structural relaxation.

Cell: 3.1444 5.3013 5.0888 Å, 90.00 90.00 90.00°
Last column: magnetic moment on the atom in μB.
Fractional positions:
Os 0.5000 0.0000 0.5000  0.70
Br 0.0000 0.5000 0.5000  0.02
In 0.0000 0.0000 0.0000  -0.01
In 0.5000 0.5000 0.0000  0.01

Results
The calculation puts the final energy at -3.72 eV/atom. The calculation puts the energy relative to the elements, uncorrected at 0.874 eV per atom. The energy above the lowest structure with this stoichiometry comes out at 753 meV per atom. As for the magnetization: 0.80 μB per formula unit.

---

12.
DFT (PBE) results for In2OsBr after structural relaxation.

Cell: 3.4279 4.0908 7.7802 Å, 90.00 90.00 90.00°
Fractional positions:
Os 0.0000 0.0000 0.3288
Br 0.5000 0.5000 0.8111
In 0.0000 0.0000 0.9993
In 0.5000 0.5000 0.3608

Results
The calculation puts the final energy at -4.15 eV/atom. The calculation puts the energy relative to the elements, uncorrected at 0.441 eV per atom. The energy above the lowest structure with this stoichiometry comes out at 320 meV per atom. As for the magnetization: 0.05 μB per formula unit.

---

13.
DFT (PBE) results for In2OsBr after structural relaxation.

Cell: 3.3031 3.3031 7.9640 Å, 90.00 90.00 90.00°
Fractional positions:
Os 0.5000 0.5000 0.2500
Br 0.5000 0.5000 0.7500
In 0.0000 0.0000 0.0513
In 0.0000 0.0000 0.4487

Results
The calculation puts the final energy at -4.32 eV/atom. The calculation puts the energy relative to the elements, uncorrected at 0.278 eV per atom. The energy above the lowest structure with this stoichiometry comes out at 158 meV per atom. As for the magnetization: 0.00 μB per formula unit.